# BeTlSe2 PBE optimized geometry
# **Symmetry**: Imm2, No. 44
# **ρ**: 6777 kg/m3
# **Total moment**: 0.000 μB per cell
# **Energy relative to the elements, uncorrected**: -0.054 eV per atom
data_BeTlSe2
_symmetry_space_group_name_H-M 'P 1'
_symmetry_Int_Tables_number 1
_symmetry_space_group_name_Hall 'P 1'
_cell_length_a 8.037
_cell_length_b 8.037
_cell_length_c 8.037
_cell_angle_alpha 156.27
_cell_angle_beta 154.15
_cell_angle_gamma 35.38
loop_
_atom_site_label
_atom_site_type_symbol
_atom_site_fract_x
_atom_site_fract_y
_atom_site_fract_z
_atom_site_occupancy
Be1 Be 0.000 0.000 0.000 1
Tl1 Tl 0.744 0.244 0.500 1
Se1 Se 0.101 0.601 0.500 1
Se2 Se 0.425 0.425 0.000 1



# Tm4ThSe5 PBE optimized geometry
# **Symmetry**: Immm, No. 71
# **ρ**: 9133 kg/m3
# **Total moment**: 0.000 μB per cell
# **Energy relative to the elements, uncorrected**: -1.617 eV per atom
data_Tm4ThSe5
_symmetry_space_group_name_H-M 'P 1'
_symmetry_Int_Tables_number 1
_symmetry_space_group_name_Hall 'P 1'
_cell_length_a 10.841
_cell_length_b 10.841
_cell_length_c 10.841
_cell_angle_alpha 158.69
_cell_angle_beta 149.19
_cell_angle_gamma 37.77
loop_
_atom_site_label
_atom_site_type_symbol
_atom_site_fract_x
_atom_site_fract_y
_atom_site_fract_z
_atom_site_occupancy
Tm1 Tm 0.096 0.096 0.000 1
Tm2 Tm 0.297 0.297 0.000 1
Tm3 Tm 0.703 0.703 0.000 1
Tm4 Tm 0.904 0.904 0.000 1
Th1 Th 0.500 0.500 0.000 1
Se1 Se 0.000 0.500 0.500 1
Se2 Se 0.198 0.698 0.500 1
Se3 Se 0.392 0.892 0.500 1
Se4 Se 0.608 0.108 0.500 1
Se5 Se 0.802 0.302 0.500 1



# LiTa2Al2 PBE optimized geometry
# **Symmetry**: P4/mbm, No. 127
# **ρ**: 8455 kg/m3
# **Total moment**: 0.000 μB per cell
# **Energy of formation from the pure elements**: 135 meV per atom
data_LiTa2Al2
_symmetry_space_group_name_H-M 'P 1'
_symmetry_Int_Tables_number 1
_symmetry_space_group_name_Hall 'P 1'
_cell_length_a 6.360
_cell_length_b 6.360
_cell_length_c 4.106
_cell_angle_alpha 90.00
_cell_angle_beta 90.00
_cell_angle_gamma 90.00
loop_
_atom_site_label
_atom_site_type_symbol
_atom_site_fract_x
_atom_site_fract_y
_atom_site_fract_z
_atom_site_occupancy
Li1 Li 0.000 0.000 0.000 1
Li2 Li 0.500 0.500 0.000 1
Ta1 Ta 0.158 0.342 0.500 1
Ta2 Ta 0.342 0.842 0.500 1
Ta3 Ta 0.658 0.158 0.500 1
Ta4 Ta 0.842 0.658 0.500 1
Al1 Al 0.142 0.642 0.000 1
Al2 Al 0.358 0.142 0.000 1
Al3 Al 0.642 0.858 0.000 1
Al4 Al 0.858 0.358 0.000 1



# TlIn4I6 PBE optimized geometry
# **Symmetry**: Cmcm, No. 63
# **ρ**: 5057 kg/m3
# **Total moment**: 0.000 μB per cell
# **Energy relative to the elements, uncorrected**: -0.469 eV per atom
data_TlIn4I6
_symmetry_space_group_name_H-M 'P 1'
_symmetry_Int_Tables_number 1
_symmetry_space_group_name_Hall 'P 1'
_cell_length_a 8.179
_cell_length_b 8.179
_cell_length_c 24.878
_cell_angle_alpha 90.00
_cell_angle_beta 90.00
_cell_angle_gamma 145.78
loop_
_atom_site_label
_atom_site_type_symbol
_atom_site_fract_x
_atom_site_fract_y
_atom_site_fract_z
_atom_site_occupancy
Tl1 Tl 0.144 0.856 0.750 1
Tl2 Tl 0.856 0.144 0.250 1
In1 In 0.107 0.893 0.132 1
In2 In 0.107 0.893 0.368 1
In3 In 0.370 0.630 0.045 1
In4 In 0.370 0.630 0.455 1
In5 In 0.630 0.370 0.545 1
In6 In 0.630 0.370 0.955 1
In7 In 0.893 0.107 0.632 1
In8 In 0.893 0.107 0.868 1
I1 I 0.000 0.000 0.000 1
I2 I 0.000 0.000 0.500 1
I3 I 0.193 0.807 0.250 1
I4 I 0.261 0.739 0.583 1
I5 I 0.261 0.739 0.917 1
I6 I 0.461 0.539 0.162 1
I7 I 0.461 0.539 0.338 1
I8 I 0.539 0.461 0.662 1
I9 I 0.539 0.461 0.838 1
I10 I 0.739 0.261 0.083 1
I11 I 0.739 0.261 0.417 1
I12 I 0.807 0.193 0.750 1



# LaIBrO2 PBE optimized geometry
# **Symmetry**: P4/mmm, No. 123
# **ρ**: 5705 kg/m3
# **Total moment**: 0.000 μB per cell
# **Energy relative to the elements, uncorrected**: -0.086 eV per atom
data_LaIBrO2
_symmetry_space_group_name_H-M 'P 1'
_symmetry_Int_Tables_number 1
_symmetry_space_group_name_Hall 'P 1'
_cell_length_a 4.606
_cell_length_b 4.606
_cell_length_c 5.183
_cell_angle_alpha 90.00
_cell_angle_beta 90.00
_cell_angle_gamma 90.00
loop_
_atom_site_label
_atom_site_type_symbol
_atom_site_fract_x
_atom_site_fract_y
_atom_site_fract_z
_atom_site_occupancy
La1 La 0.000 0.000 0.000 1
I1 I 0.500 0.500 0.000 1
Br1 Br 0.500 0.500 0.500 1
O1 O 0.000 0.500 0.500 1
O2 O 0.500 0.000 0.500 1



# HfIn2Ag PBE optimized geometry
# **Symmetry**: Fm-3m, No. 225
# **ρ**: 9910 kg/m3
# **Total moment**: 0.000 μB per cell
# **Energy of formation from the pure elements**: 126 meV per atom
data_HfIn2Ag
_symmetry_space_group_name_H-M 'P 1'
_symmetry_Int_Tables_number 1
_symmetry_space_group_name_Hall 'P 1'
_cell_length_a 4.963
_cell_length_b 4.963
_cell_length_c 4.963
_cell_angle_alpha 60.00
_cell_angle_beta 60.00
_cell_angle_gamma 60.00
loop_
_atom_site_label
_atom_site_type_symbol
_atom_site_fract_x
_atom_site_fract_y
_atom_site_fract_z
_atom_site_occupancy
Hf1 Hf 0.000 0.000 0.000 1
In1 In 0.250 0.250 0.250 1
In2 In 0.750 0.750 0.750 1
Ag1 Ag 0.500 0.500 0.500 1



# PaTi2Sn PBE optimized geometry
# **Symmetry**: P4/mmm, No. 123
# **ρ**: 9245 kg/m3
# **Total moment**: 0.000 μB per cell
# **Energy of formation from the pure elements**: -133 meV per atom
data_PaTi2Sn
_symmetry_space_group_name_H-M 'P 1'
_symmetry_Int_Tables_number 1
_symmetry_space_group_name_Hall 'P 1'
_cell_length_a 3.508
_cell_length_b 3.508
_cell_length_c 6.502
_cell_angle_alpha 90.00
_cell_angle_beta 90.00
_cell_angle_gamma 90.00
loop_
_atom_site_label
_atom_site_type_symbol
_atom_site_fract_x
_atom_site_fract_y
_atom_site_fract_z
_atom_site_occupancy
Pa1 Pa 0.000 0.000 0.000 1
Ti1 Ti 0.500 0.500 0.243 1
Ti2 Ti 0.500 0.500 0.757 1
Sn1 Sn 0.000 0.000 0.500 1



# K5Ni3 PBE optimized geometry
# **Symmetry**: Cmmm, No. 65
# **ρ**: 2306 kg/m3
# **Total moment**: 1.160 μB per cell
# **Energy of formation from the pure elements**: 799 meV per atom
data_K5Ni3
_symmetry_space_group_name_H-M 'P 1'
_symmetry_Int_Tables_number 1
_symmetry_space_group_name_Hall 'P 1'
_cell_length_a 7.158
_cell_length_b 7.158
_cell_length_c 5.391
_cell_angle_alpha 90.00
_cell_angle_beta 90.00
_cell_angle_gamma 104.32
loop_
_atom_site_label
_atom_site_type_symbol
_atom_site_fract_x
_atom_site_fract_y
_atom_site_fract_z
_atom_site_occupancy
K1 K 0.000 0.000 0.000 1
K2 K 0.000 0.500 0.000 1
K3 K 0.301 0.301 0.500 1
K4 K 0.500 0.000 0.000 1
K5 K 0.699 0.699 0.500 1
Ni1 Ni 0.214 0.786 0.500 1
Ni2 Ni 0.500 0.500 0.000 1
Ni3 Ni 0.786 0.214 0.500 1



# MgAlSbI2 PBE optimized geometry
# **Symmetry**: P4/mmm, No. 123
# **ρ**: 4201 kg/m3
# **Total moment**: 0.000 μB per cell
# **Energy relative to the elements, uncorrected**: 0.124 eV per atom
data_MgAlSbI2
_symmetry_space_group_name_H-M 'P 1'
_symmetry_Int_Tables_number 1
_symmetry_space_group_name_Hall 'P 1'
_cell_length_a 5.512
_cell_length_b 5.512
_cell_length_c 5.553
_cell_angle_alpha 90.00
_cell_angle_beta 90.00
_cell_angle_gamma 90.00
loop_
_atom_site_label
_atom_site_type_symbol
_atom_site_fract_x
_atom_site_fract_y
_atom_site_fract_z
_atom_site_occupancy
Mg1 Mg 0.000 0.000 0.000 1
Al1 Al 0.500 0.500 0.500 1
Sb1 Sb 0.500 0.500 0.000 1
I1 I 0.000 0.500 0.500 1
I2 I 0.500 0.000 0.500 1



# Tb3InS2 PBE optimized geometry
# **Symmetry**: Cmcm, No. 63
# **ρ**: 7415 kg/m3
# **Total moment**: 0.000 μB per cell
# **Energy relative to the elements, uncorrected**: -1.252 eV per atom
data_Tb3InS2
_symmetry_space_group_name_H-M 'P 1'
_symmetry_Int_Tables_number 1
_symmetry_space_group_name_Hall 'P 1'
_cell_length_a 6.682
_cell_length_b 6.682
_cell_length_c 9.570
_cell_angle_alpha 90.00
_cell_angle_beta 90.00
_cell_angle_gamma 136.58
loop_
_atom_site_label
_atom_site_type_symbol
_atom_site_fract_x
_atom_site_fract_y
_atom_site_fract_z
_atom_site_occupancy
Tb1 Tb 0.106 0.894 0.750 1
Tb2 Tb 0.368 0.632 0.550 1
Tb3 Tb 0.368 0.632 0.950 1
Tb4 Tb 0.632 0.368 0.050 1
Tb5 Tb 0.632 0.368 0.450 1
Tb6 Tb 0.894 0.106 0.250 1
In1 In 0.222 0.778 0.250 1
In2 In 0.778 0.222 0.750 1
S1 S 0.000 0.000 0.000 1
S2 S 0.000 0.000 0.500 1
S3 S 0.468 0.532 0.250 1
S4 S 0.532 0.468 0.750 1



# Sr3TlHg2 PBE optimized geometry
# **Symmetry**: Cmmm, No. 65
# **ρ**: 7297 kg/m3
# **Total moment**: 0.000 μB per cell
# **Energy of formation from the pure elements**: -505 meV per atom
data_Sr3TlHg2
_symmetry_space_group_name_H-M 'P 1'
_symmetry_Int_Tables_number 1
_symmetry_space_group_name_Hall 'P 1'
_cell_length_a 8.961
_cell_length_b 8.961
_cell_length_c 4.083
_cell_angle_alpha 90.00
_cell_angle_beta 90.00
_cell_angle_gamma 142.94
loop_
_atom_site_label
_atom_site_type_symbol
_atom_site_fract_x
_atom_site_fract_y
_atom_site_fract_z
_atom_site_occupancy
Sr1 Sr 0.000 0.000 0.000 1
Sr2 Sr 0.331 0.669 0.000 1
Sr3 Sr 0.669 0.331 0.000 1
Tl1 Tl 0.500 0.500 0.500 1
Hg1 Hg 0.163 0.837 0.500 1
Hg2 Hg 0.837 0.163 0.500 1



# Lu2ZnRe PBE optimized geometry
# **Symmetry**: P4/mmm, No. 123
# **ρ**: 12193 kg/m3
# **Total moment**: 0.000 μB per cell
# **Energy of formation from the pure elements**: -119 meV per atom
data_Lu2ZnRe
_symmetry_space_group_name_H-M 'P 1'
_symmetry_Int_Tables_number 1
_symmetry_space_group_name_Hall 'P 1'
_cell_length_a 3.415
_cell_length_b 3.415
_cell_length_c 7.024
_cell_angle_alpha 90.00
_cell_angle_beta 90.00
_cell_angle_gamma 90.00
loop_
_atom_site_label
_atom_site_type_symbol
_atom_site_fract_x
_atom_site_fract_y
_atom_site_fract_z
_atom_site_occupancy
Lu1 Lu 0.000 0.000 0.231 1
Lu2 Lu 0.000 0.000 0.769 1
Zn1 Zn 0.500 0.500 0.500 1
Re1 Re 0.500 0.500 0.000 1



Question: Which value of ρ does entry 11 give?
Answer: 7297 kg/m3



Question: Among the records above, which one has the highest ρ?
Answer: Lu2ZnRe



Question: What is the formula in the sixth record?
Answer: HfIn2Ag